DyGaCuRu (GGA-PBE, optimized geometry); energy of formation from the pure elements = -0.23 eV per atom; M_tot = 0.00 μB/cell; crystal system = cubic
1.0
6.459 0.000 0.000
0.000 6.459 0.000
0.000 0.000 6.459
Dy Ga Cu Ru
4 4 4 4
Direct
0.000 0.000 0.000
0.000 0.500 0.500
0.500 0.000 0.500
0.500 0.500 0.000
0.000 0.000 0.500
0.000 0.500 0.000
0.500 0.000 0.000
0.500 0.500 0.500
0.250 0.250 0.250
0.250 0.750 0.750
0.750 0.250 0.750
0.750 0.750 0.250
0.250 0.250 0.750
0.250 0.750 0.250
0.750 0.250 0.250
0.750 0.750 0.750



Tb2Ho9Tm (GGA-PBE, optimized geometry); energy of formation from the pure elements = 0.02 eV per atom; M_tot = 0.00 μB/cell; energy above the most stable polymorph in this dataset = 0 meV/atom; crystal system = tetragonal
1.0
4.979 0.000 0.000
0.000 4.979 0.000
0.000 0.000 14.932
Tb Ho Tm
2 9 1
Direct
0.000 0.000 0.167
0.000 0.000 0.833
0.000 0.500 0.000
0.000 0.500 0.334
0.000 0.500 0.666
0.500 0.000 0.000
0.500 0.000 0.334
0.500 0.000 0.666
0.500 0.500 0.167
0.500 0.500 0.500
0.500 0.500 0.833
0.000 0.000 0.500



NdCu2Ge3 (GGA-PBE, optimized geometry); energy of formation from the pure elements = -0.40 eV per atom; M_tot = 0.00 μB/cell; crystal system = tetragonal
1.0
-2.091 2.091 12.541
2.091 -2.091 12.541
2.091 2.091 -12.541
Nd Cu Ge
2 4 6
Direct
0.150 0.150 0.000
0.850 0.850 0.000
0.250 0.750 0.500
0.400 0.400 0.000
0.600 0.600 0.000
0.750 0.250 0.500
0.050 0.550 0.500
0.304 0.304 0.000
0.450 0.950 0.500
0.550 0.050 0.500
0.696 0.696 0.000
0.950 0.450 0.500